Record 1
Density functional theory data (PBE) for a geometry-optimized Pm4TePt structure.

Space group: C2/c
Calculated volume: 369.5 Å³ per cell
Formation energy without anion corrections: -0.764 eV per atom

a = 8.416 Å, b = 8.416 Å, c = 6.675 Å
α = 107.21°, β = 107.21°, γ = 112.55°
Positions (direct):
Pm: 0.068 0.699 0.910
Pm: 0.215 0.342 0.707
Pm: 0.301 0.932 0.590
Pm: 0.342 0.215 0.207
Pm: 0.658 0.785 0.793
Pm: 0.699 0.068 0.410
Pm: 0.785 0.658 0.293
Pm: 0.932 0.301 0.090
Te: 0.372 0.628 0.250
Te: 0.628 0.372 0.750
Pt: 0.004 0.996 0.750
Pt: 0.996 0.004 0.250

---

Record 2
Density functional theory data (PBE) for a geometry-optimized Hf2TaO structure.

Space group: I-42d
Calculated volume: 152.6 Å³ per cell
Formation energy without anion corrections: -0.719 eV per atom

a = 5.866 Å, b = 5.866 Å, c = 5.866 Å
α = 114.15°, β = 114.15°, γ = 100.46°
Positions (direct):
Hf: 0.014 0.625 0.889
Hf: 0.375 0.264 0.389
Hf: 0.736 0.125 0.111
Hf: 0.875 0.986 0.611
Ta: 0.250 0.750 0.500
Ta: 0.500 0.500 0.000
O: 0.000 0.000 0.000
O: 0.750 0.250 0.500

---

Record 3
Density functional theory data (PBE) for a geometry-optimized LaLuMo4 structure.

Formation enthalpy at 0 K: 187 meV per atom
Space group: F-43m
Calculated volume: 120.4 Å³ per cell

a = 5.543 Å, b = 5.543 Å, c = 5.543 Å
α = 60.00°, β = 60.00°, γ = 60.00°
Positions (direct):
La: 0.000 0.000 0.000
Lu: 0.250 0.250 0.250
Mo: 0.123 0.626 0.626
Mo: 0.626 0.123 0.626
Mo: 0.626 0.626 0.123
Mo: 0.626 0.626 0.626

---

Record 4
Density functional theory data (PBE) for a geometry-optimized Mg3NiN structure.

Space group: Pm-3m
Calculated volume: 73.7 Å³ per cell
Formation energy without anion corrections: -0.234 eV per atom

a = 4.193 Å, b = 4.193 Å, c = 4.193 Å
α = 90.00°, β = 90.00°, γ = 90.00°
Positions (direct):
Mg: 0.000 0.000 0.500
Mg: 0.000 0.500 0.000
Mg: 0.500 0.000 0.000
Ni: 0.500 0.500 0.500
N: 0.000 0.000 0.000